# 1
Material: Sr3IrS
Method: DFT, PBE
State: relaxed

## Properties
**Raw formation energy**: -0.358 eV per atom
**Energy**: -3.965 eV/atom
**Total magnetic moment**: 0.00 μB per formula unit
**Calculated density**: 4.41 g/cm3
**Relative energy among the computed polymorphs**: 0.0 meV/atom

Cell and atoms, written as CIF:
```
data_Sr3IrS
_chemical_formula_sum 'Sr3 Ir1 S1'
_symmetry_space_group_name_H-M 'P m -3 m'
_symmetry_Int_Tables_number 221
_symmetry_space_group_name_Hall '-P 4 2 3'
_cell_length_a 5.681
_cell_length_b 5.681
_cell_length_c 5.681
_cell_angle_alpha 90.00
_cell_angle_beta 90.00
_cell_angle_gamma 90.00
loop_
_atom_site_label
_atom_site_type_symbol
_atom_site_fract_x
_atom_site_fract_y
_atom_site_fract_z
_atom_site_occupancy
Sr1 Sr 0.000 0.000 0.500 1
Ir1 Ir 0.000 0.000 0.000 1
S1 S 0.500 0.500 0.500 1
```


# 2
Material: Be2Ir2Rh
Method: DFT, PBE
State: relaxed

## Properties
**Energy**: -6.847 eV/atom
**Total magnetic moment**: 0.00 μB per formula unit
**Calculated density**: 14.26 g/cm3
**Relative energy among the computed polymorphs**: 0.0 meV/atom

Cell and atoms, written as CIF:
```
data_Be2Ir2Rh
_chemical_formula_sum 'Be4 Ir4 Rh2'
_symmetry_space_group_name_H-M 'P 4/m b m'
_symmetry_Int_Tables_number 127
_symmetry_space_group_name_Hall '-P 4 2ab'
_cell_length_a 6.509
_cell_length_b 6.509
_cell_length_c 2.778
_cell_angle_alpha 90.00
_cell_angle_beta 90.00
_cell_angle_gamma 90.00
loop_
_atom_site_label
_atom_site_type_symbol
_atom_site_fract_x
_atom_site_fract_y
_atom_site_fract_z
_atom_site_occupancy
Be1 Be 0.124 0.376 0.000 1
Ir1 Ir 0.171 0.671 0.500 1
Rh1 Rh 0.000 0.000 0.000 1
```